La2CdTe: optimized geometry, GGA-PBEsol.

The raw total energy comes out at -4.5655 eV per atom. The calculation puts the size of the total moment at 0.00 μB/f.u. The calculation puts the density at 7.53 g cm⁻³. As for the calculated volume: 228.5 Å³ per cell. The energy above the lowest structure with this stoichiometry is 135 meV per atom.

Lattice parameters (Å, degrees): 4.581 4.581 10.889 90.00 90.00 90.00
Space group I-4m2 (No. 119)
One atom of each set of equivalent atoms:
1 La 0.000 0.000 0.000 x2
2 La 0.000 0.500 0.250 x2
3 Cd 0.000 0.500 0.750 x2
4 Te 0.000 0.000 0.500 x2